Record 1
{"formula": "Cs2ZrGeI6", "functional": "PBE", "state": "relaxed", "lattice": [[-4.258, 4.258, 6.105], [4.258, -4.258, 6.105], [4.258, 4.258, -6.105]], "species": ["Cs", "Cs", "Zr", "Ge", "I", "I", "I", "I", "I", "I"], "fractional_positions": [[0.250, 0.750, 0.500], [0.750, 0.250, 0.500], [0.000, 0.000, 0.000], [0.500, 0.500, 0.000], [0.243, 0.243, 0.000], [0.246, 0.246, 0.492], [0.246, 0.754, 0.000], [0.754, 0.246, 0.000], [0.754, 0.754, 0.508], [0.757, 0.757, 0.000]], "raw_formation_energy_kj_per_mol_atoms": -81.8, "m_tot_mub_per_fu": 2.0, "mass_density_kg_m3": 4466}

=====

Record 2
{"formula": "Na2CaSn", "functional": "PBE", "state": "relaxed", "lattice": [[1.807, 1.043, 12.307], [-1.807, 1.043, 12.307], [0.000, -2.086, 12.307]], "species": ["Na", "Na", "Ca", "Sn"], "fractional_positions": [[0.097, 0.097, 0.097], [0.903, 0.903, 0.903], [0.000, 0.000, 0.000], [0.500, 0.500, 0.500]], "m_tot_mub_per_fu": 0.0, "e_form_ev_per_atom": 0.08, "mass_density_kg_m3": 2443}

=====

Record 3
{"formula": "PmNdScPd", "functional": "PBE", "state": "relaxed", "lattice": [[0.000, 3.734, 3.734], [3.734, 0.000, 3.734], [3.734, 3.734, 0.000]], "species": ["Pm", "Nd", "Sc", "Pd"], "fractional_positions": [[0.000, 0.000, 0.000], [0.500, 0.500, 0.500], [0.750, 0.750, 0.750], [0.250, 0.250, 0.250]], "m_tot_mub_per_fu": 0.0, "e_form_ev_per_atom": -0.12, "mass_density_kg_m3": 7026}

=====

Record 4
{"formula": "Mg2InCl", "functional": "PBE", "state": "relaxed", "lattice": [[3.819, -3.820, 0.000], [3.819, 3.820, 0.000], [-0.715, 0.000, 3.210]], "species": ["Mg", "Mg", "In", "Cl"], "fractional_positions": [[0.000, 0.500, 0.000], [0.500, 0.000, 0.000], [0.000, 0.000, 0.500], [0.500, 0.500, 0.500]], "raw_formation_energy_kj_per_mol_atoms": -38.2, "m_tot_mub_per_fu": 0.0, "polymorph_energy_mev_per_atom": 163, "mass_density_kg_m3": 3526}

=====

Record 5
{"formula": "VCu3Pd3", "functional": "PBE", "state": "relaxed", "lattice": [[7.057, 0.000, 0.000], [-3.528, 6.111, 0.000], [0.000, 0.000, 4.486]], "species": ["V", "V", "Cu", "Cu", "Cu", "Cu", "Cu", "Cu", "Pd", "Pd", "Pd", "Pd", "Pd", "Pd"], "fractional_positions": [[0.333, 0.667, 0.250], [0.667, 0.333, 0.750], [0.106, 0.482, 0.750], [0.376, 0.894, 0.750], [0.482, 0.376, 0.250], [0.518, 0.624, 0.750], [0.624, 0.106, 0.250], [0.894, 0.518, 0.250], [0.060, 0.261, 0.250], [0.201, 0.940, 0.250], [0.261, 0.201, 0.750], [0.739, 0.799, 0.250], [0.799, 0.060, 0.750], [0.940, 0.739, 0.750]], "m_tot_mub_per_fu": 1.3, "e_form_ev_per_atom": -0.06, "mass_density_kg_m3": 9629}

=====

Record 6
{"formula": "ZrAlMo", "functional": "PBE", "state": "relaxed", "lattice": [[0.000, 2.271, 6.719], [1.761, 0.000, 6.719], [1.761, 2.271, 0.000]], "species": ["Zr", "Al", "Mo"], "fractional_positions": [[0.000, 0.000, 0.000], [0.679, 0.679, 0.321], [0.328, 0.328, 0.672]], "m_tot_mub_per_fu": 0.0, "e_form_ev_per_atom": -0.08, "polymorph_energy_mev_per_atom": 272, "mass_density_kg_m3": 6618}

=====

Record 7
{"formula": "PaAsSe4", "functional": "PBE", "state": "relaxed", "lattice": [[-3.863, 4.218, 5.591], [3.863, -4.218, 5.591], [3.863, 4.218, -5.591]], "species": ["Pa", "Pa", "As", "As", "Se", "Se", "Se", "Se", "Se", "Se", "Se", "Se"], "fractional_positions": [[0.000, 0.000, 0.000], [0.500, 0.000, 0.500], [0.500, 0.000, 0.000], [0.500, 0.500, 0.500], [0.255, 0.247, 0.492], [0.255, 0.764, 0.008], [0.268, 0.246, 0.022], [0.276, 0.754, 0.522], [0.724, 0.246, 0.478], [0.732, 0.754, 0.978], [0.745, 0.236, 0.992], [0.745, 0.753, 0.508]], "raw_formation_energy_kj_per_mol_atoms": -77.0, "m_tot_mub_per_fu": 0.0, "polymorph_energy_mev_per_atom": 0, "mass_density_kg_m3": 5667}

=====

Record 8
{"formula": "AcBiSb2", "functional": "PBE", "state": "relaxed", "lattice": [[2.339, 1.351, 7.611], [-2.339, 1.351, 7.611], [0.000, -2.701, 7.611]], "species": ["Ac", "Bi", "Sb", "Sb"], "fractional_positions": [[0.000, 0.000, 0.000], [0.500, 0.500, 0.500], [0.245, 0.245, 0.245], [0.755, 0.755, 0.755]], "raw_formation_energy_kj_per_mol_atoms": -47.8, "m_tot_mub_per_fu": 0.0, "polymorph_energy_mev_per_atom": 71, "mass_density_kg_m3": 7819}

=====

Record 9
{"formula": "PaSnRu", "functional": "PBE", "state": "relaxed", "lattice": [[4.679, 0.000, 0.000], [-2.339, 4.052, 0.000], [0.000, 0.000, 3.350]], "species": ["Pa", "Sn", "Ru"], "fractional_positions": [[0.000, 0.000, 0.000], [0.667, 0.333, 0.500], [0.333, 0.667, 0.500]], "m_tot_mub_per_fu": 0.0, "e_form_ev_per_atom": -0.33, "mass_density_kg_m3": 11789}

=====

Record 10
{"formula": "Si2TcMo", "functional": "PBE", "state": "relaxed", "lattice": [[1.588, -2.213, 0.000], [1.588, 2.213, 0.000], [0.000, 0.000, 8.256]], "species": ["Si", "Si", "Tc", "Mo"], "fractional_positions": [[0.000, 0.000, 0.000], [0.500, 0.500, 0.256], [0.000, 0.000, 0.491], [0.500, 0.500, 0.756]], "raw_formation_energy_kj_per_mol_atoms": 15.6, "m_tot_mub_per_fu": 0.0, "polymorph_energy_mev_per_atom": 611, "mass_density_kg_m3": 7158}

=====

Record 11
{"formula": "Tb6Er8In", "functional": "PBE", "state": "relaxed", "lattice": [[9.146, 0.000, 0.000], [-4.573, 7.920, 0.000], [0.000, 0.000, 6.657]], "species": ["Tb", "Tb", "Tb", "Tb", "Tb", "Tb", "Er", "Er", "Er", "Er", "Er", "Er", "Er", "Er", "In"], "fractional_positions": [[0.080, 0.682, 0.103], [0.318, 0.398, 0.103], [0.398, 0.080, 0.897], [0.602, 0.920, 0.103], [0.682, 0.602, 0.897], [0.920, 0.318, 0.897], [0.016, 0.328, 0.389], [0.312, 0.984, 0.389], [0.328, 0.312, 0.611], [0.333, 0.667, 0.680], [0.667, 0.333, 0.320], [0.672, 0.688, 0.389], [0.688, 0.016, 0.611], [0.984, 0.672, 0.611], [0.000, 0.000, 0.000]], "m_tot_mub_per_fu": 0.0, "e_form_ev_per_atom": 0.20, "polymorph_energy_mev_per_atom": 175, "mass_density_kg_m3": 8287}

=====

Record 12
{"formula": "Pr2SmAs3Rh4", "functional": "PBE", "state": "relaxed", "lattice": [[4.180, 0.000, 0.000], [0.000, 4.180, 0.000], [0.000, 0.000, 11.476]], "species": ["Pr", "Pr", "Sm", "As", "As", "As", "Rh", "Rh", "Rh", "Rh"], "fractional_positions": [[0.000, 0.500, 0.223], [0.500, 0.000, 0.777], [0.000, 0.000, 0.500], [0.000, 0.500, 0.873], [0.500, 0.000, 0.127], [0.500, 0.500, 0.500], [0.000, 0.000, 0.000], [0.000, 0.500, 0.661], [0.500, 0.000, 0.339], [0.500, 0.500, 0.000]], "m_tot_mub_per_fu": 0.0, "e_form_ev_per_atom": -0.93, "mass_density_kg_m3": 8849}